(1)
This record from Alexandria via LeMat-Bulk describes crystalline AcLa4Y6 at its relaxed geometry. The functional is PBE.

DOS(E_F) (states/eV per cell): 17.0
E_form (eV/atom): 0.326
Crystal system: tetragonal

a b c (Å): 9.8982 9.8982 9.8982
angles (deg): 58.84 139.35 139.35
Fractional positions:
Y (0.0000, 0.4439, 0.7949)
La (0.0000, 0.6307, 0.0130)
Y (0.5000, 0.0000, 0.5000)
Y (0.6489, 0.2051, 0.2051)
La (0.6176, 0.9870, 0.9870)
Ac (0.0000, 0.0000, 0.0000)
Y (0.5000, 0.5000, 0.0000)
La (0.0000, 0.0130, 0.6307)
La (0.3824, 0.3693, 0.3693)
Y (0.3511, 0.5561, 0.5561)
Y (0.0000, 0.7949, 0.4439)

(2)
This record from Alexandria via LeMat-Bulk describes crystalline Tc2C at its relaxed geometry. The functional is PBE.

DOS(E_F) (states/eV per cell): 8.0
E_form (eV/atom): 1.181
Crystal system: hexagonal
Energy relative to the lowest polymorph listed for this composition (kJ per mole of atoms): 106.8

a b c (Å): 4.2131 4.2131 4.6371
angles (deg): 90.00 90.00 120.00
Fractional positions:
Tc (0.0000, 0.0000, 0.0000)
C (0.3333, 0.6667, 0.2500)
Tc (0.6667, 0.3333, 0.2500)
Tc (0.0000, 0.0000, 0.5000)
Tc (0.3333, 0.6667, 0.7500)
C (0.6667, 0.3333, 0.7500)

(3)
This record from Alexandria via LeMat-Bulk describes crystalline LaNb2AgO7 at its relaxed geometry. The functional is PBE.

Formation energy without anion corrections (eV per atom): -2.46
Crystal system: tetragonal

a b c (Å): 11.2184 11.2184 11.2184
angles (deg): 159.78 159.78 28.74
Fractional positions:
O (0.9159, 0.4159, 0.5000)
Ag (0.2500, 0.7500, 0.5000)
O (0.3114, 0.3114, 0.0000)
O (0.5000, 0.5000, 0.0000)
Nb (0.6048, 0.6048, 0.0000)
Nb (0.3952, 0.3952, 0.0000)
O (0.4144, 0.9144, 0.5000)
O (0.6886, 0.6886, 0.0000)
O (0.0856, 0.5856, 0.5000)
O (0.5841, 0.0841, 0.5000)
La (0.0000, 0.0000, 0.0000)

(4)
This record from Alexandria via LeMat-Bulk describes crystalline SrCaCl2 at its relaxed geometry. The functional is PBE.

DOS(E_F) (states/eV per cell): 2.5
Formation energy without anion corrections (eV per atom): -1.23
Crystal system: tetragonal
Energy relative to the lowest polymorph listed for this composition (kJ per mole of atoms): 44.1

a b c (Å): 4.3353 5.1135 5.1135
angles (deg): 90.00 90.00 90.00
Last column: magnetic moment on the atom in μB.
Fractional positions:
Cl (0.0000, 0.0000, 0.0000)  0.01
Cl (0.0000, 0.5000, 0.5000)  0.01
Sr (0.5000, 0.5000, 0.0000)  0.13
Ca (0.5000, 0.0000, 0.5000)  0.19

(5)
This record from Alexandria via LeMat-Bulk describes crystalline FeReNiRh at its relaxed geometry. The functional is PBE.

DOS(E_F) (states/eV per cell): 4.0
E_form (eV/atom): 0.107
Crystal system: cubic

a b c (Å): 4.1772 4.1772 4.1772
angles (deg): 60.00 60.00 60.00
Last column: magnetic moment on the atom in μB.
Fractional positions:
Ni (0.0000, 0.0000, 0.0000)  -0.03
Rh (0.2500, 0.2500, 0.2500)  0.20
Fe (0.5000, 0.5000, 0.5000)  2.26
Re (0.7500, 0.7500, 0.7500)  -0.20

(6)
This record from Alexandria via LeMat-Bulk describes crystalline Y6GeSb2Te3 at its relaxed geometry. The functional is PBE.

DOS(E_F) (states/eV per cell): 4.1
Formation energy without anion corrections (eV per atom): -1.28
Crystal system: monoclinic

a b c (Å): 4.3361 8.7382 9.7567
angles (deg): 103.17 102.84 90.00
Fractional positions:
Te (0.1701, 0.8348, 0.3401)
Te (0.5000, 0.5000, 0.0000)
Y (0.0007, 0.2247, 0.0014)
Y (0.3324, 0.4232, 0.6647)
Y (0.3452, 0.9175, 0.6904)
Y (0.6676, 0.5768, 0.3353)
Ge (0.5000, 0.0000, 0.0000)
Sb (0.8334, 0.6671, 0.6668)
Y (0.6548, 0.0825, 0.3096)
Te (0.8299, 0.1652, 0.6599)
Y (0.9993, 0.7753, 0.9986)
Sb (0.1666, 0.3329, 0.3332)

(7)
This record from Alexandria via LeMat-Bulk describes crystalline Er2TmGa at its relaxed geometry. The functional is PBE.

DOS(E_F) (states/eV per cell): 4.1
E_form (eV/atom): 0.134
Crystal system: trigonal
Energy relative to the lowest polymorph listed for this composition (kJ per mole of atoms): 40.5

a b c (Å): 3.4455 3.4455 11.6750
angles (deg): 81.51 81.51 60.00
Fractional positions:
Ga (0.0000, 0.0000, 0.0000)
Tm (0.5000, 0.5000, 0.5000)
Er (0.9141, 0.9141, 0.2578)
Er (0.0859, 0.0859, 0.7422)

(8)
This record from Alexandria via LeMat-Bulk describes crystalline Pr2Zn3Cu12Au at its relaxed geometry. The functional is PBE.

DOS(E_F) (states/eV per cell): 6.8
E_form (eV/atom): 0.093
Crystal system: trigonal

a b c (Å): 9.7252 9.7252 9.7252
angles (deg): 37.46 37.46 37.46
Fractional positions:
Cu (0.0741, 0.0741, 0.6314)
Au (0.0000, 0.0000, 0.0000)
Cu (0.3686, 0.9259, 0.9259)
Zn (0.5000, 0.0000, 0.0000)
Zn (0.0000, 0.0000, 0.5000)
Cu (0.4190, 0.8033, 0.4190)
Cu (0.8033, 0.4190, 0.4190)
Cu (0.9259, 0.9259, 0.3686)
Cu (0.1967, 0.5810, 0.5810)
Cu (0.0741, 0.6314, 0.0741)
Cu (0.4190, 0.4190, 0.8033)
Zn (0.0000, 0.5000, 0.0000)
Cu (0.5810, 0.1967, 0.5810)
Cu (0.9259, 0.3686, 0.9259)
Pr (0.6488, 0.6488, 0.6488)
Pr (0.3512, 0.3512, 0.3512)
Cu (0.5810, 0.5810, 0.1967)
Cu (0.6314, 0.0741, 0.0741)

(9)
This record from Alexandria via LeMat-Bulk describes crystalline NdGa3Au3 at its relaxed geometry. The functional is PBE.

DOS(E_F) (states/eV per cell): 8.0
E_form (eV/atom): -0.158
Crystal system: cubic
Energy relative to the lowest polymorph listed for this composition (kJ per mole of atoms): 21.7

a b c (Å): 7.0159 7.0159 7.0159
angles (deg): 90.00 90.00 90.00
Fractional positions:
Au (0.0000, 0.5000, 0.7500)
Ga (0.0000, 0.7500, 0.5000)
Au (0.7500, 0.0000, 0.5000)
Nd (0.5000, 0.5000, 0.5000)
Ga (0.5000, 0.0000, 0.7500)
Ga (0.0000, 0.2500, 0.5000)
Au (0.5000, 0.7500, 0.0000)
Nd (0.0000, 0.0000, 0.0000)
Ga (0.2500, 0.5000, 0.0000)
Au (0.0000, 0.5000, 0.2500)
Ga (0.7500, 0.5000, 0.0000)
Au (0.2500, 0.0000, 0.5000)
Ga (0.5000, 0.0000, 0.2500)
Au (0.5000, 0.2500, 0.0000)

| no. | total energy (eV per atom) | volume (Å³/cell) |
| --- | --- | --- |
| 1 | -5.36 | 407.6 |
| 2 | -8.80 | 71.3 |
| 3 | -8.15 | 168.5 |
| 4 | -3.07 | 113.4 |
| 5 | -8.40 | 51.5 |
| 6 | -6.37 | 350.5 |
| 7 | -4.02 | 118.3 |
| 8 | -3.56 | 305.1 |
| 9 | -3.54 | 345.3 |